No. 1
DFT (PBE-GGA) results for a geometry-optimized CrFe2HOs structure.

Summary:
Calculated total energy   -8.176 eV/atom
Offset from the most stable computed form   0.0000 eV per atom
Crystal system   tetragonal

POSCAR file:
```
CrFe2HOs
1.0
3.613 0.000 0.000
0.000 3.613 0.000
0.000 0.000 3.703
Cr Fe H Os
1 2 1 1
direct
0.000 0.000 0.000
0.000 0.500 0.500
0.500 0.000 0.500
0.000 0.000 0.500
0.500 0.500 0.000
```

No. 2
DFT (PBE-GGA) results for a geometry-optimized Tm6In3Au structure.

Summary:
Calculated total energy   -4.259 eV/atom
Crystal system   monoclinic
ΔE_f   -4.27 eV/f.u.

POSCAR file:
```
Tm6In3Au
1.0
9.064 0.000 0.000
0.000 5.205 0.000
-3.580 0.000 11.059
Tm In Au
12 6 2
direct
0.035 0.250 0.416
0.171 0.750 0.164
0.275 0.250 0.004
0.349 0.750 0.815
0.360 0.250 0.329
0.398 0.250 0.625
0.602 0.750 0.375
0.640 0.750 0.671
0.651 0.250 0.185
0.725 0.750 0.996
0.829 0.250 0.836
0.965 0.750 0.584
0.023 0.750 0.879
0.116 0.250 0.719
0.277 0.750 0.466
0.723 0.250 0.534
0.884 0.750 0.281
0.977 0.250 0.121
0.464 0.750 0.119
0.536 0.250 0.881
```